# SrAgO2F | Alexandria via LeMat-Bulk | GGA-PBEsol | relaxed
# - calculated density (g cm⁻³) = 5.919
# - DOS(E_F) (states/eV/cell) = 1.65
# - uncorrected formation energy (eV per atom) = -1.506
# - raw total energy (eV/atom) = -5.022
data_SrAgO2F
_cell_length_a 4.042
_cell_length_b 4.042
_cell_length_c 4.232
_cell_angle_alpha 90.00
_cell_angle_beta 90.00
_cell_angle_gamma 90.00
_symmetry_space_group_name_H-M 'P 4/m m m'
_symmetry_Int_Tables_number 123
_symmetry_space_group_name_Hall '-P 4 2'
loop_
_atom_site_label
_atom_site_fract_x
_atom_site_fract_y
_atom_site_fract_z
Sr1 0.000 0.000 0.000
Ag1 0.500 0.500 0.500
O1 0.000 0.500 0.500
F1 0.500 0.500 0.000


# VAg2O3F | Alexandria via LeMat-Bulk | GGA-PBEsol | relaxed
# - calculated density (g cm⁻³) = 6.241
# - uncorrected formation energy (eV per atom) = -1.450
# - raw total energy (eV/atom) = -6.298
data_VAg2O3F
_cell_length_a 5.543
_cell_length_b 10.261
_cell_length_c 13.620
_cell_angle_alpha 90.00
_cell_angle_beta 113.53
_cell_angle_gamma 90.00
_symmetry_space_group_name_H-M 'P 1 21/c 1'
_symmetry_Int_Tables_number 14
loop_
_symmetry_equiv_pos_as_xyz
'x,y,z'
'-x,-y,-z'
'-x,y+1/2,-z+1/2'
'x,-y+1/2,z+1/2'
loop_
_atom_site_label
_atom_site_fract_x
_atom_site_fract_y
_atom_site_fract_z
V1 0.004 0.019 0.286
V2 0.223 0.737 0.415
Ag1 0.074 0.192 0.910
Ag2 0.304 0.045 0.565
Ag3 0.365 0.025 0.081
Ag4 0.464 0.247 0.272
O1 0.015 0.152 0.189
O2 0.114 0.604 0.908
O3 0.185 0.606 0.167
O4 0.216 0.083 0.802
O5 0.245 0.669 0.534
O6 0.481 0.226 0.098
F1 0.305 0.554 0.758
F2 0.328 0.119 0.398